KLi2P2: optimized geometry, GGA-PBEsol.

Output
symmetry: I4/mmm (139)
energy relative to the elements: -47.1 kJ per mole of atoms
raw total energy: -19.09 eV per cell

Lattice parameters (Å, degrees): 4.394 4.394 5.801 112.26 112.26 90.00
Atoms (fractional coordinates):
Li  0.750  0.250  0.500
Li  0.250  0.750  0.500
P  0.610  0.610  0.220
P  0.390  0.390  0.780
K  0.000  0.000  0.000

CuMoRh2: optimized geometry, GGA-PBEsol.

Output
E above lowest polymorph: 10 meV per atom
symmetry: Pmmm (47)
energy relative to the elements: -11.0 kJ per mole of atoms
raw total energy: -32.84 eV per cell

Lattice parameters (Å, degrees): 2.726 3.630 5.426 90.00 90.00 90.00
Atoms (fractional coordinates):
Mo  0.500  0.500  0.500
Cu  0.500  0.500  0.000
Rh  0.000  0.000  0.756
Rh  0.000  0.000  0.244

ReHgRu: optimized geometry, GGA-PBEsol.

Output
E above lowest polymorph: 831 meV per atom
symmetry: F-43m (216)
energy relative to the elements: 108.9 kJ per mole of atoms
raw total energy: -20.69 eV per cell

Lattice parameters (Å, degrees): 4.284 4.284 4.284 60.00 60.00 60.00
Atoms (fractional coordinates):
Re  0.750  0.750  0.750
Ru  0.000  0.000  0.000
Hg  0.500  0.500  0.500